First-principles (GGA-PBE) data for DyCuPb after structural relaxation, as listed in Alexandria.

a = 4.630 Å, b = 4.630 Å, c = 7.365 Å
α = 90.00°, β = 90.00°, γ = 120.00°
Positions (direct):
Pb: 0.667 0.333 0.250
Dy: 0.000 0.000 0.500
Dy: 0.000 0.000 0.000
Cu: 0.333 0.667 0.250
Pb: 0.333 0.667 0.750
Cu: 0.667 0.333 0.750

=====

First-principles (GGA-PBE) data for SnPdAu after structural relaxation, as listed in Alexandria.

a = 5.115 Å, b = 5.496 Å, c = 5.496 Å
α = 87.66°, β = 62.27°, γ = 62.27°
Positions (direct):
Pd: 0.000 0.317 0.683
Sn: 0.751 0.249 0.249
Au: 0.500 0.179 0.821
Au: 0.500 0.821 0.179
Pd: 0.000 0.683 0.317
Sn: 0.249 0.751 0.751

## Properties
ΔE to the lowest computed polymorph (eV per atom): 0.192

=====

First-principles (GGA-PBE) data for NaNdZnAu after structural relaxation, as listed in Alexandria.

a = 5.087 Å, b = 5.087 Å, c = 5.087 Å
α = 60.00°, β = 60.00°, γ = 60.00°
Positions (direct):
Nd: 0.750 0.750 0.750
Zn: 0.000 0.000 0.000
Au: 0.500 0.500 0.500
Na: 0.250 0.250 0.250

=====

no.,spin magnetization (μB per cell),formation energy from the elements (eV per atom)
1,0.00,-0.34
2,0.00,-0.09
3,0.00,-0.35